[1]
Density functional theory data (GGA-PBE) for a relaxed LaHo2TmTl4 crystal.

a = 5.4074 Å, b = 5.4074 Å, c = 26.7219 Å
α = 90.00°, β = 90.00°, γ = 120.00°
With the nearest neighbours (Å) after each atom.
Space group R-3m (No. 166, hexagonal axes)
One atom of each set of equivalent atoms:
La1 0.0000 0.0000 0.0000 x3  8 Tl 3.34-3.41
Ho1 0.0000 0.0000 0.2488 x6  8 Tl 3.24-3.46
Tm1 0.0000 0.0000 0.5000 x3  8 Tl 3.25-3.29
Tl1 0.0000 0.0000 0.1276 x6  4 Ho 3.24-3.33, 3 Tm 3.29, 1 La 3.41
Tl2 0.0000 0.0000 0.3782 x6  1 Tm 3.25, 4 Ho 3.30-3.46, 3 La 3.34

Output
For the density of states at the Fermi level, the calculation gives 18.77 states/eV per cell. Its total magnetization is 0.000 μB/atom. Its total energy is -3.84 eV per atom.

***

[2]
Density functional theory data (GGA-PBE) for a relaxed LaHo2TmTl2 crystal.

a = 5.1609 Å, b = 10.0822 Å, c = 6.8212 Å
α = 90.00°, β = 90.00°, γ = 90.00°
With the nearest neighbours (Å) after each atom.
Space group Pmc2_1 (No. 26)
One atom of each set of equivalent atoms:
La1 0.0000 0.0431 0.0000 x2  5 Tl 3.31-3.55, 2 La 3.52, 2 Tm 3.56
Ho1 0.0000 0.3200 0.3827 x2  4 Tl 3.16-3.25, 2 Ho 3.52
Ho2 0.5000 0.4544 0.0946 x2  5 Tl 3.22-3.57, 4 Ho 3.52-3.53
Tm1 0.5000 0.1976 0.7220 x2  4 Tl 3.15-3.43
Tl1 0.0000 0.3672 0.8427 x2  4 Ho 3.16-3.22, 2 Tm 3.20, 1 La 3.44
Tl2 0.5000 0.1407 0.2676 x2  2 Tm 3.15-3.43, 3 Ho 3.25-3.38, 2 La 3.31

Output
For the density of states at the Fermi level, the calculation gives 12.26 states/eV per cell. Its total magnetization is 0.000 μB/atom. Its total energy is -4.14 eV per atom.

***

[3]
Density functional theory data (GGA-PBE) for a relaxed LaHoTmTl crystal.

a = 7.8363 Å, b = 7.8363 Å, c = 7.8363 Å
α = 90.00°, β = 90.00°, γ = 90.00°
With the nearest neighbours (Å) after each atom.
Space group F-43m (No. 216)
One atom of each set of equivalent atoms:
La1 0.0000 0.0000 0.0000 x4  4 Tl 3.39, 4 Tm 3.39
Ho1 0.0000 0.0000 0.5000 x4  4 Tl 3.39, 4 Tm 3.39
Tm1 0.2500 0.2500 0.2500 x4  4 La 3.39, 4 Ho 3.39
Tl1 0.2500 0.2500 0.7500 x4  4 La 3.39, 4 Ho 3.39

Output
For the density of states at the Fermi level, the calculation gives 22.84 states/eV per cell. Its total magnetization is 0.258 μB/atom. Its total energy is -4.15 eV per atom.

***

[4]
Density functional theory data (GGA-PBE) for a relaxed LaHoTm2Tl4 crystal.

a = 5.3977 Å, b = 5.3977 Å, c = 26.6516 Å
α = 90.00°, β = 90.00°, γ = 120.00°
With the nearest neighbours (Å) after each atom.
Space group R-3m (No. 166, hexagonal axes)
One atom of each set of equivalent atoms:
La1 0.0000 0.0000 0.0000 x3  8 Tl 3.34-3.40
Ho1 0.0000 0.0000 0.5000 x3  8 Tl 3.25-3.29
Tm1 0.0000 0.0000 0.2491 x6  8 Tl 3.24-3.44
Tl1 0.0000 0.0000 0.1275 x6  4 Tm 3.24-3.32, 3 Ho 3.29, 1 La 3.40
Tl2 0.0000 0.0000 0.3780 x6  1 Ho 3.25, 4 Tm 3.29-3.44, 3 La 3.34

Output
For the density of states at the Fermi level, the calculation gives 18.92 states/eV per cell. Its total magnetization is 0.000 μB/atom. Its total energy is -3.82 eV per atom.

***

[5]
Density functional theory data (GGA-PBE) for a relaxed La2HoTmTl2 crystal.

a = 5.0771 Å, b = 10.2463 Å, c = 6.9705 Å
α = 90.00°, β = 90.00°, γ = 90.00°
With the nearest neighbours (Å) after each atom.
Space group Pmc2_1 (No. 26)
One atom of each set of equivalent atoms:
La1 0.0000 0.0614 0.0000 x2  2 La 3.20, 3 Tl 3.38-3.51
La2 0.5000 0.1782 0.2220 x2  2 La 3.20, 4 Tl 3.39-3.41
Ho1 0.5000 0.4580 0.8698 x2  5 Tl 3.20-3.40
Tm1 0.0000 0.3075 0.5785 x2  4 Tl 3.10-3.22
Tl1 0.0000 0.3918 0.1328 x2  2 Tm 3.10-3.22, 4 Ho 3.20-3.40, 2 La 3.41
Tl2 0.5000 0.1522 0.7081 x2  2 Tm 3.13, 1 Ho 3.33, 4 La 3.38-3.40

Output
For the density of states at the Fermi level, the calculation gives 11.10 states/eV per cell. Its total magnetization is 0.000 μB/atom. Its total energy is -4.22 eV per atom.

***

[6]
Density functional theory data (GGA-PBE) for a relaxed LaHoTlZn crystal.

a = 3.7388 Å, b = 3.7388 Å, c = 7.7038 Å
α = 90.00°, β = 90.00°, γ = 90.00°
With the nearest neighbours (Å) after each atom.
Space group P4mm (No. 99)
One atom of each set of equivalent atoms:
La1 0.0000 0.0000 0.0000 x1  4 Zn 3.29, 4 Tl 3.48, 1 Ho 3.50
Ho1 0.0000 0.0000 0.5455 x1  4 Zn 3.06, 4 Tl 3.28
Tl1 0.5000 0.5000 0.2937 x1  4 Ho 3.28, 1 Zn 3.48, 4 La 3.48
Zn1 0.5000 0.5000 0.7451 x1  4 Ho 3.06, 4 La 3.29

Output
For the density of states at the Fermi level, the calculation gives 3.56 states/eV per cell. Its total magnetization is 0.000 μB/atom. Its total energy is -3.65 eV per atom.

***

[7]
Density functional theory data (GGA-PBE) for a relaxed LaHoTlZn crystal.

a = 7.5915 Å, b = 7.5915 Å, c = 7.5915 Å
α = 90.00°, β = 90.00°, γ = 90.00°
With the nearest neighbours (Å) after each atom.
Space group F-43m (No. 216)
One atom of each set of equivalent atoms:
La1 0.0000 0.0000 0.0000 x4  4 Zn 3.29, 4 Tl 3.29
Ho1 0.0000 0.0000 0.5000 x4  4 Tl 3.29, 4 Zn 3.29
Tl1 0.2500 0.2500 0.2500 x4  4 La 3.29, 4 Ho 3.29
Zn1 0.2500 0.2500 0.7500 x4  4 La 3.29, 4 Ho 3.29

Output
For the density of states at the Fermi level, the calculation gives 18.89 states/eV per cell. Its total magnetization is 0.000 μB/atom. Its total energy is -3.61 eV per atom.

***

[8]
Density functional theory data (GGA-PBE) for a relaxed La2HoTm8 crystal.

a = 16.4846 Å, b = 6.5502 Å, c = 6.6474 Å
α = 90.00°, β = 100.60°, γ = 90.00°
With the nearest neighbours (Å) after each atom.
Space group C2/m (No. 12)
One atom of each set of equivalent atoms:
La1 0.2486 0.0000 0.3203 x4  9 Tm 3.32-3.55
Ho1 0.0000 0.0000 0.0000 x2  4 Tm 3.23
Tm1 0.0839 0.2588 0.3976 x8  4 Tm 3.16-3.47, 1 Ho 3.23, 2 La 3.32-3.43
Tm2 0.0889 0.5000 0.9116 x4  1 La 3.33, 6 Tm 3.35-3.67, 2 Ho 3.68
Tm3 0.1971 0.0000 0.8107 x4  4 La 3.34-3.55, 3 Tm 3.47-3.67, 1 Ho 3.69

Output
For the density of states at the Fermi level, the calculation gives 30.61 states/eV per cell. Its total magnetization is 0.000 μB/atom. Its total energy is -4.38 eV per atom.

***

[9]
Density functional theory data (GGA-PBE) for a relaxed LaHo2Tm6 crystal.

a = 12.5346 Å, b = 3.6323 Å, c = 13.0029 Å
α = 90.00°, β = 106.64°, γ = 90.00°
With the nearest neighbours (Å) after each atom.
Space group C2/m (No. 12)
One atom of each set of equivalent atoms:
La1 0.0000 0.0000 0.0000 x2  2 La 3.63, 6 Tm 3.64-3.67, 4 Ho 3.88
Ho1 0.1724 0.5000 0.2578 x4  8 Tm 3.42-3.63, 2 Ho 3.63
Tm1 0.0372 0.0000 0.6868 x4  8 Tm 3.36-3.63, 3 Ho 3.44-3.50
Tm2 0.1439 0.5000 0.5194 x4  9 Tm 3.37-3.63, 3 Ho 3.52-3.63
Tm3 0.1954 0.5000 0.8917 x4  6 Tm 3.30-3.63, 2 Ho 3.42, 3 La 3.64-3.67

Output
For the density of states at the Fermi level, the calculation gives 27.93 states/eV per cell. Its total magnetization is 0.000 μB/atom. Its total energy is -4.49 eV per atom.

***

[10]
Density functional theory data (GGA-PBE) for a relaxed La12Ho3Tm crystal.

a = 5.1971 Å, b = 5.1971 Å, c = 20.7793 Å
α = 90.00°, β = 90.00°, γ = 90.00°
With the nearest neighbours (Å) after each atom.
Space group P4/mmm (No. 123)
One atom of each set of equivalent atoms:
La1 0.0000 0.0000 0.0000 x1  4 Ho 3.67, 8 La 3.68
La2 0.0000 0.0000 0.2502 x2  4 Ho 3.67, 8 La 3.68
La3 0.0000 0.0000 0.5000 x1  8 La 3.67, 4 Tm 3.67
La4 0.0000 0.5000 0.1251 x4  8 La 3.67-3.68, 4 Ho 3.68
La5 0.0000 0.5000 0.3754 x4  8 La 3.67-3.68, 2 Tm 3.67, 2 Ho 3.68
Ho1 0.5000 0.5000 0.0000 x1  12 La 3.67-3.68
Ho2 0.5000 0.5000 0.2503 x2  12 La 3.67-3.68
Tm1 0.5000 0.5000 0.5000 x1  12 La 3.67

Output
For the density of states at the Fermi level, the calculation gives 20.90 states/eV per cell. Its total magnetization is 0.000 μB/atom. Its total energy is -4.83 eV per atom.

***

[11]
Density functional theory data (GGA-PBE) for a relaxed La2Ho3Tm6 crystal.

a = 4.7202 Å, b = 4.7202 Å, c = 33.1559 Å
α = 90.00°, β = 90.00°, γ = 90.00°
With the nearest neighbours (Å) after each atom.
Space group I4/mmm (No. 139)
One atom of each set of equivalent atoms:
La1 0.0000 0.0000 0.0464 x4  1 La 3.08
Ho1 0.0000 0.0000 0.2970 x4  9 Tm 3.35-3.53
Ho2 0.0000 0.0000 0.5000 x2  8 La 3.68
Tm1 0.0000 0.0000 0.1946 x4  4 Tm 3.33, 5 Ho 3.35-3.39
Tm2 0.0000 0.5000 0.1240 x8  6 Tm 3.33-3.34, 2 La 3.49, 2 Ho 3.53

Output
For the density of states at the Fermi level, the calculation gives 35.54 states/eV per cell. Its total magnetization is 0.000 μB/atom. Its total energy is -4.31 eV per atom.

***

[12]
Density functional theory data (GGA-PBE) for a relaxed La6HoTm2 crystal.

a = 9.4563 Å, b = 17.8180 Å, c = 3.6919 Å
α = 90.00°, β = 90.00°, γ = 90.00°
With the nearest neighbours (Å) after each atom.
Space group Cmmm (No. 65)
One atom of each set of equivalent atoms:
La1 0.1720 0.1666 0.0000 x8  4 La 3.25-3.50, 2 Tm 3.61
La2 0.1780 0.0000 0.5000 x4  7 La 3.37-3.69, 2 Ho 3.56
Ho1 0.0000 0.5000 0.0000 x2  4 La 3.56, 4 Tm 3.57, 2 Ho 3.69
Tm1 0.0000 0.3283 0.5000 x4  2 Ho 3.57, 8 La 3.61-3.79, 2 Tm 3.69

Output
For the density of states at the Fermi level, the calculation gives 26.44 states/eV per cell. Its total magnetization is 0.000 μB/atom. Its total energy is -4.67 eV per atom.